The following is a PBE calculation of an optimized crystal structure of Zn5Au3, from Alexandria.

Cell lengths 7.334, 8.564, 4.078 Å; angles 90.00, 90.00, 90.00 degrees
Space group Cmmm (No. 65)
Symmetry-distinct sites (fractional):
Zn (0.000, 0.000, 0.000) x2
Zn (0.237, 0.500, 0.500) x4
Zn (0.250, 0.250, 0.000) x4
Au (0.000, 0.225, 0.500) x4
Au (0.000, 0.500, 0.000) x2

Output
Offset from the most stable computed form ... 3 meV/atom
Theoretical density ... 11.90 Mg/m³
D(E_F) ... 0.207 states/eV/atom
DFT formation energy ... -157 meV/atom
Crystal system ... orthorhombic

The following is a PBE calculation of an optimized crystal structure of ZnAu, from Alexandria.

Cell lengths 7.866, 7.866, 4.597 Å; angles 90.00, 90.00, 90.00 degrees
Space group P4/mnc (No. 128)
Symmetry-distinct sites (fractional):
Zn (0.069, 0.288, 0.000) x8
Au (0.092, 0.760, 0.500) x8

Output
Theoretical density ... 12.26 Mg/m³
D(E_F) ... 0.393 states/eV/atom
DFT formation energy ... -137 meV/atom
Crystal system ... tetragonal

Per-record size of the total moment, μB/f.u.: 0.00, 0.00